[1]
Below is a relaxed NaTcH2 crystal, with properties calculated at the GGA-PBE level.

```
data_NaTcH2
_chemical_formula_sum 'Na3 Tc3 H6'
_cell_length_a 2.9414
_cell_length_b 2.9414
_cell_length_c 15.7759
_cell_angle_alpha 90.00
_cell_angle_beta 90.00
_cell_angle_gamma 120.00
_symmetry_space_group_name_H-M 'R -3 m'
_symmetry_Int_Tables_number 166
_symmetry_space_group_name_Hall '-R 3 2"'
loop_
_atom_site_label
_atom_site_fract_x
_atom_site_fract_y
_atom_site_fract_z
_atom_site_occupancy
Na1 0.0000 0.0000 0.0000 1
Tc1 0.0000 0.0000 0.5000 1
H1 0.0000 0.0000 0.2211 1
```

Summary:
E above lowest polymorph: 0 meV per atom
Density: 5.18 Mg/m³

[2]
Below is a relaxed UTe2 crystal, with properties calculated at the GGA-PBE level.

```
data_UTe2
_chemical_formula_sum 'U2 Te4'
_cell_length_a 3.955
_cell_length_b 3.955
_cell_length_c 10.272
_cell_angle_alpha 90.00
_cell_angle_beta 90.00
_cell_angle_gamma 90.00
_symmetry_space_group_name_H-M 'I 4/m m m'
_symmetry_Int_Tables_number 139
_symmetry_space_group_name_Hall '-I 4 2'
loop_
_atom_site_label
_atom_site_fract_x
_atom_site_fract_y
_atom_site_fract_z
_atom_site_occupancy
U1 0.000 0.000 0.000 1
Te1 0.000 0.000 0.345 1
```

Summary:
Uncorrected formation energy: -0.62 eV/atom
Density: 10.19 Mg/m³

[3]
Below is a relaxed Na2TlCu2 crystal, with properties calculated at the GGA-PBE level.

```
data_Na2TlCu2
_chemical_formula_sum 'Na4 Tl2 Cu4'
_cell_length_a 4.284
_cell_length_b 4.284
_cell_length_c 12.639
_cell_angle_alpha 90.00
_cell_angle_beta 90.00
_cell_angle_gamma 90.00
_symmetry_space_group_name_H-M 'I 4/m m m'
_symmetry_Int_Tables_number 139
_symmetry_space_group_name_Hall '-I 4 2'
loop_
_atom_site_label
_atom_site_fract_x
_atom_site_fract_y
_atom_site_fract_z
_atom_site_occupancy
Na1 0.000 0.500 0.250 1
Tl1 0.000 0.000 0.000 1
Cu1 0.000 0.000 0.408 1
```

Summary:
E above lowest polymorph: 186 meV per atom
Density: 5.40 Mg/m³
Energy of formation: 0.345 eV per atom

[4]
Below is a relaxed Nd3YB2N6 crystal, with properties calculated at the GGA-PBE level.

```
data_Nd3YB2N6
_chemical_formula_sum 'Nd3 Y1 B2 N6'
_cell_length_a 5.6309
_cell_length_b 5.6309
_cell_length_c 6.3487
_cell_angle_alpha 90.00
_cell_angle_beta 90.00
_cell_angle_gamma 120.00
_symmetry_space_group_name_H-M 'P -3 m 1'
_symmetry_Int_Tables_number 164
_symmetry_space_group_name_Hall '-P 3 2"'
loop_
_atom_site_label
_atom_site_fract_x
_atom_site_fract_y
_atom_site_fract_z
_atom_site_occupancy
Nd1 0.0000 0.0000 0.0000 1
Nd2 0.3333 0.6667 0.6619 1
Y1 0.0000 0.0000 0.5000 1
B1 0.3333 0.6667 0.2483 1
N1 0.1848 0.3696 0.2736 1
```

Summary:
Uncorrected formation energy: -1.15 eV/atom
Density: 5.98 Mg/m³

[5]
Below is a relaxed LaTa2Mn crystal, with properties calculated at the GGA-PBE level.

```
data_LaTa2Mn
_chemical_formula_sum 'La2 Ta4 Mn2'
_cell_length_a 10.756
_cell_length_b 3.081
_cell_length_c 5.225
_cell_angle_alpha 90.00
_cell_angle_beta 109.54
_cell_angle_gamma 90.00
_symmetry_space_group_name_H-M 'C 1 2/m 1'
_symmetry_Int_Tables_number 12
_symmetry_space_group_name_Hall '-C 2y'
loop_
_atom_site_label
_atom_site_fract_x
_atom_site_fract_y
_atom_site_fract_z
_atom_site_occupancy
La1 0.000 0.000 0.000 1
Ta1 0.199 0.000 0.675 1
Mn1 0.000 0.500 0.500 1
```

Summary:
E above lowest polymorph: 190 meV per atom
Density: 11.31 Mg/m³
Energy of formation: 0.448 eV per atom

[6]
Below is a relaxed CrCoAg2 crystal, with properties calculated at the GGA-PBE level.

```
data_CrCoAg2
_chemical_formula_sum 'Cr2 Co2 Ag4'
_cell_length_a 3.029
_cell_length_b 4.464
_cell_length_c 9.188
_cell_angle_alpha 90.00
_cell_angle_beta 90.00
_cell_angle_gamma 90.00
_symmetry_space_group_name_H-M 'I m m m'
_symmetry_Int_Tables_number 71
_symmetry_space_group_name_Hall '-I 2 2'
loop_
_atom_site_label
_atom_site_fract_x
_atom_site_fract_y
_atom_site_fract_z
_atom_site_occupancy
Cr1 0.000 0.000 0.000 1
Co1 0.000 0.000 0.500 1
Ag1 0.000 0.500 0.237 1
```

Summary:
E above lowest polymorph: 233 meV per atom
Density: 8.73 Mg/m³
Energy of formation: 0.555 eV per atom

[7]
Below is a relaxed BeCrAs crystal, with properties calculated at the GGA-PBE level.

```
data_BeCrAs
_chemical_formula_sum 'Be4 Cr4 As4'
_cell_length_a 5.575
_cell_length_b 5.742
_cell_length_c 5.819
_cell_angle_alpha 118.93
_cell_angle_beta 90.24
_cell_angle_gamma 100.62
_symmetry_space_group_name_H-M 'P 1'
_symmetry_Int_Tables_number 1
_symmetry_space_group_name_Hall 'P 1'
loop_
_atom_site_label
_atom_site_fract_x
_atom_site_fract_y
_atom_site_fract_z
_atom_site_occupancy
Be1 0.000 0.000 0.000 1
Be2 0.046 0.295 0.437 1
Be3 0.477 0.250 0.834 1
Be4 0.590 0.107 0.408 1
Cr1 0.169 0.801 0.585 1
Cr2 0.729 0.937 0.657 1
Cr3 0.793 0.532 0.752 1
Cr4 0.796 0.364 0.175 1
As1 0.097 0.312 0.854 1
As2 0.452 0.477 0.415 1
As3 0.479 0.885 0.967 1
As4 0.908 0.811 0.244 1
```

Summary:
E above lowest polymorph: 88 meV per atom
Density: 5.67 Mg/m³
Energy of formation: 0.093 eV per atom

[8]
Below is a relaxed BSb2Cl crystal, with properties calculated at the GGA-PBE level.

```
data_BSb2Cl
_chemical_formula_sum 'B4 Sb8 Cl4'
_cell_length_a 6.818
_cell_length_b 6.818
_cell_length_c 6.818
_cell_angle_alpha 90.00
_cell_angle_beta 90.00
_cell_angle_gamma 90.00
_symmetry_space_group_name_H-M 'F m -3 m'
_symmetry_Int_Tables_number 225
_symmetry_space_group_name_Hall '-F 4 2 3'
loop_
_atom_site_label
_atom_site_fract_x
_atom_site_fract_y
_atom_site_fract_z
_atom_site_occupancy
B1 0.000 0.000 0.000 1
Sb1 0.250 0.250 0.250 1
Cl1 0.000 0.000 0.500 1
```

Summary:
Uncorrected formation energy: 0.85 eV/atom
E above lowest polymorph: 398 meV per atom
Density: 6.07 Mg/m³

Number 1: uncorrected energy -4.536 eV/atom, size of the total moment 0.00 μB per cell, N(E_F) 0.1800 states/eV/atom. Number 2: uncorrected energy -6.476 eV/atom, size of the total moment 4.18 μB per cell, N(E_F) 1.8956 states/eV/atom. Number 3: uncorrected energy -2.294 eV/atom, size of the total moment 0.00 μB per cell, N(E_F) 0.5272 states/eV/atom. Number 4: uncorrected energy -8.159 eV/atom, size of the total moment 0.00 μB per cell, N(E_F) 0.0260 states/eV/atom. Number 5: uncorrected energy -9.002 eV/atom, size of the total moment 0.00 μB per cell, N(E_F) 1.1780 states/eV/atom. Number 6: uncorrected energy -5.053 eV/atom, size of the total moment 9.83 μB per cell, N(E_F) 1.1554 states/eV/atom. Number 7: uncorrected energy -5.907 eV/atom, size of the total moment 0.68 μB per cell, N(E_F) 0.5617 states/eV/atom. Number 8: uncorrected energy -3.343 eV/atom, size of the total moment 0.00 μB per cell, N(E_F) 0.3672 states/eV/atom.